This record from the Open Quantum Materials Database describes a geometry-optimized InCoAgIr structure. The functional is PBE.

Values from the calculation:
SG: F-43m (216)
distance to the lowest polymorph of the same formula: 0.0 meV/atom

Cell: 4.481 4.481 4.481 Å, 60.00 60.00 60.00°
Last column: magnetic moment on the atom in μB.
Fractional positions:
Co 0.750 0.750 0.750  1.38
Ir 0.250 0.250 0.250  0.08
In 0.000 0.000 0.000  -0.04
Ag 0.500 0.500 0.500  0.01

This record from the Open Quantum Materials Database describes a geometry-optimized FeSnW2 structure. The functional is PBE.

Values from the calculation:
total energy: -9.1066 eV/atom
SG: F-43m (216)

Cell: 4.467 4.467 4.467 Å, 60.00 60.00 60.00°
Last column: magnetic moment on the atom in μB.
Fractional positions:
W 0.750 0.750 0.750  -0.06
W 0.000 0.000 0.000  -0.02
Sn 0.500 0.500 0.500  -0.03
Fe 0.250 0.250 0.250  1.13